VASP calculation (PBE) on crystalline Pm3H2Se2 at its relaxed geometry.

Cell lengths 5.9645, 16.2450, 4.0349 Å; angles 90.00, 132.48, 90.00 degrees
Space group C2/m (No. 12)
Unique sites:
Pm (0.0000, 0.0000, 0.0000) [2 per cell]
Pm (0.0000, 0.3638, 0.0000) [4 per cell]
H (0.2371, 0.5000, 0.2375) [4 per cell]
Se (0.0000, 0.1759, 0.0000) [4 per cell]

Summary:
VASP energy: -5.207 eV/atom
V: 288.3 Å³ per cell
density of states at the Fermi level: 3.39 states/eV/f.u.

***

VASP calculation (PBE) on crystalline Pm4HSe5 at its relaxed geometry.

Cell lengths 19.6275, 4.1148, 7.6766 Å; angles 90.00, 112.96, 90.00 degrees
Space group C2/m (No. 12)
Unique sites:
Pm (0.0000, 0.0000, 0.2470) [4 per cell]
Pm (0.2192, 0.5000, 0.2193) [4 per cell]
H (0.0000, 0.5000, 0.0000) [2 per cell]
Se (0.0000, 0.5000, 0.5000) [2 per cell]
Se (0.1614, 0.0000, 0.4003) [4 per cell]
Se (0.1614, 0.0000, 0.9229) [4 per cell]

Summary:
VASP energy: -5.494 eV/atom
V: 570.9 Å³ per cell
density of states at the Fermi level: 1.64 states/eV/f.u.

***

What did the second record say?
VASP calculation (PBE) on crystalline Pm4HSe5 at its relaxed geometry.

Cell lengths 19.6275, 4.1148, 7.6766 Å; angles 90.00, 112.96, 90.00 degrees
Space group C2/m (No. 12)
Unique sites:
Pm (0.0000, 0.0000, 0.2470) [4 per cell]
Pm (0.2192, 0.5000, 0.2193) [4 per cell]
H (0.0000, 0.5000, 0.0000) [2 per cell]
Se (0.0000, 0.5000, 0.5000) [2 per cell]
Se (0.1614, 0.0000, 0.4003) [4 per cell]
Se (0.1614, 0.0000, 0.9229) [4 per cell]

Summary:
VASP energy: -5.494 eV/atom
V: 570.9 Å³ per cell
density of states at the Fermi level: 1.64 states/eV/f.u.

***

Number 1 is which compound?
Pm3H2Se2

***

What did the first record say?
VASP calculation (PBE) on crystalline Pm3H2Se2 at its relaxed geometry.

Cell lengths 5.9645, 16.2450, 4.0349 Å; angles 90.00, 132.48, 90.00 degrees
Space group C2/m (No. 12)
Unique sites:
Pm (0.0000, 0.0000, 0.0000) [2 per cell]
Pm (0.0000, 0.3638, 0.0000) [4 per cell]
H (0.2371, 0.5000, 0.2375) [4 per cell]
Se (0.0000, 0.1759, 0.0000) [4 per cell]

Summary:
VASP energy: -5.207 eV/atom
V: 288.3 Å³ per cell
density of states at the Fermi level: 3.39 states/eV/f.u.